(1)
A relaxed structure of NbV6Re, computed with PBE-GGA.

N(E_F): 1.335 states/eV/atom
DFT total energy: -9.51 eV per atom
symmetry: R-3m, No. 166
formation energy from the elements: 141 meV per atom
energy relative to the lowest polymorph listed for this composition: 240.9 meV/atom
total magnetization: 0.000 Bohr magnetons per cell

Unit cell a=5.4226 b=5.4226 c=5.4226 alpha=110.53 beta=110.53 gamma=110.53
Last column: nearest neighbours and their distance in Å.
Atoms (fractional coordinates):
Nb1 0.0000 0.0000 0.0000  2 Re 2.57, 6 V 2.64
V1 0.2528 0.7464 0.2528  6 V 2.56-2.74, 1 Re 2.58, 1 Nb 2.64
V2 0.2528 0.2528 0.7464  6 V 2.56-2.74, 1 Re 2.58, 1 Nb 2.64
V3 0.7472 0.2536 0.7472  6 V 2.56-2.74, 1 Re 2.58, 1 Nb 2.64
V4 0.2536 0.7472 0.7472  6 V 2.56-2.74, 1 Re 2.58, 1 Nb 2.64
V5 0.7472 0.7472 0.2536  6 V 2.56-2.74, 1 Re 2.58, 1 Nb 2.64
V6 0.7464 0.2528 0.2528  6 V 2.56-2.74, 1 Re 2.58, 1 Nb 2.64
Re1 0.5000 0.5000 0.5000  2 Nb 2.57, 6 V 2.58

=====

(2)
A relaxed structure of NbV3Re, computed with PBE-GGA.

N(E_F): 1.468 states/eV/atom
DFT total energy: -8.78 eV per atom
symmetry: Pm-3m, No. 221
formation energy from the elements: 1191 meV per atom
energy relative to the lowest polymorph listed for this composition: 1345.4 meV/atom
total magnetization: 1.970 Bohr magnetons per cell

Unit cell a=4.5461 b=4.5461 c=4.5461 alpha=90.00 beta=90.00 gamma=90.00
Last column: nearest neighbours and their distance in Å.
Atoms (fractional coordinates):
Re1 0.0000 0.0000 0.0000  6 V 2.27
Nb1 0.5000 0.5000 0.5000  12 V 3.21
V1 0.0000 0.5000 0.0000  2 Re 2.27
V2 0.0000 0.0000 0.5000  2 Re 2.27
V3 0.5000 0.0000 0.0000  2 Re 2.27

=====

(3)
A relaxed structure of NbVRe3, computed with PBE-GGA.

N(E_F): 1.691 states/eV/atom
DFT total energy: -8.97 eV per atom
symmetry: Pm-3m, No. 221
formation energy from the elements: 2336 meV per atom
energy relative to the lowest polymorph listed for this composition: 1048.6 meV/atom
total magnetization: 0.377 Bohr magnetons per cell

Unit cell a=4.7102 b=4.7102 c=4.7102 alpha=90.00 beta=90.00 gamma=90.00
Last column: nearest neighbours and their distance in Å.
Atoms (fractional coordinates):
Re1 0.0000 0.5000 0.0000  2 Nb 2.36
Re2 0.0000 0.0000 0.5000  2 Nb 2.36
Re3 0.5000 0.0000 0.0000  2 Nb 2.36
Nb1 0.0000 0.0000 0.0000  6 Re 2.36
V1 0.5000 0.5000 0.5000  12 Re 3.33

=====

(4)
A relaxed structure of Nb2V9Re, computed with PBE-GGA.

N(E_F): 1.210 states/eV/atom
DFT total energy: -9.37 eV per atom
symmetry: R-3m, No. 166
formation energy from the elements: 188 meV per atom
total magnetization: 0.000 Bohr magnetons per cell

Unit cell a=5.0323 b=5.0323 c=8.5746 alpha=72.94 beta=72.94 gamma=60.00
Last column: nearest neighbours and their distance in Å.
Atoms (fractional coordinates):
Nb1 0.8561 0.8561 0.4317  12 V 2.92-2.96, 3 Nb 3.11
Nb2 0.1439 0.1439 0.5683  12 V 2.92-2.96, 3 Nb 3.11
V1 0.6676 0.6676 0.9972  6 V 2.45-2.49
V2 0.3324 0.3324 0.0028  6 V 2.45-2.49
V3 0.5000 0.5000 0.5000  6 V 2.50
V4 0.4168 0.4168 0.2483  7 V 2.45-2.52
V5 0.9182 0.4168 0.2483  7 V 2.45-2.52
V6 0.4168 0.9182 0.2483  7 V 2.45-2.52
V7 0.5832 0.5832 0.7517  7 V 2.45-2.52
V8 0.5832 0.0818 0.7517  7 V 2.45-2.52
V9 0.0818 0.5832 0.7517  7 V 2.45-2.52
Re1 0.0000 0.0000 0.0000  18 V 2.91-3.22